(1)
Here is a relaxed structure of KWSe2N from Alexandria via LeMat-Bulk. Energies are from PBE.

Values from the calculation:
DOS(E_F) ... 3.1 states/eV/f.u.
V ... 20.9 Å³ per atom
Uncorrected formation energy ... -25.5 kJ per mole of atoms
Crystal system ... tetragonal

Cell lengths 5.183, 5.183, 3.888 Å; angles 90.00, 90.00, 90.00 degrees
Fractional coordinates of all 5 atoms:
K 0.500 0.500 0.500
Se 0.000 0.500 0.000
Se 0.500 0.000 0.000
W 0.000 0.000 0.000
N 0.000 0.000 0.500


(2)
Here is a relaxed structure of KWSeN2 from Alexandria via LeMat-Bulk. Energies are from PBE.

Values from the calculation:
DOS(E_F) ... 3.6 states/eV/f.u.
V ... 17.0 Å³ per atom
Uncorrected formation energy ... 5.6 kJ per mole of atoms
Crystal system ... tetragonal

Cell lengths 4.058, 4.058, 5.159 Å; angles 90.00, 90.00, 90.00 degrees
Fractional coordinates of all 5 atoms:
K 0.500 0.500 0.500
Se 0.000 0.000 0.500
W 0.000 0.000 0.000
N 0.000 0.500 0.000
N 0.500 0.000 0.000


(3)
Here is a relaxed structure of KWSe2N from Alexandria via LeMat-Bulk. Energies are from PBE.

Values from the calculation:
DOS(E_F) ... 4.0 states/eV/f.u.
V ... 28.5 Å³ per atom
Uncorrected formation energy ... 234.0 kJ per mole of atoms
Crystal system ... tetragonal

Cell lengths 5.612, 5.612, 4.532 Å; angles 90.00, 90.00, 90.00 degrees
Fractional coordinates of all 5 atoms:
K 0.000 0.000 0.000
Se 0.000 0.500 0.000
Se 0.500 0.000 0.000
W 0.500 0.500 0.500
N 0.000 0.000 0.500


(4)
Here is a relaxed structure of KYSeN2 from Alexandria via LeMat-Bulk. Energies are from PBE.

Values from the calculation:
DOS(E_F) ... 1.9 states/eV/f.u.
V ... 25.2 Å³ per atom
Uncorrected formation energy ... 15.8 kJ per mole of atoms
Crystal system ... tetragonal

Cell lengths 4.731, 4.731, 5.633 Å; angles 90.00, 90.00, 90.00 degrees
Fractional coordinates of all 5 atoms:
Y 0.000 0.000 0.000
K 0.500 0.500 0.500
Se 0.000 0.000 0.500
N 0.000 0.500 0.000
N 0.500 0.000 0.000


(5)
Here is a relaxed structure of KYSe2N from Alexandria via LeMat-Bulk. Energies are from PBE.

Values from the calculation:
DOS(E_F) ... 3.8 states/eV/f.u.
V ... 29.4 Å³ per atom
Uncorrected formation energy ... -44.4 kJ per mole of atoms
Crystal system ... tetragonal

Cell lengths 5.598, 5.598, 4.696 Å; angles 90.00, 90.00, 90.00 degrees
Fractional coordinates of all 5 atoms:
Y 0.000 0.000 0.000
K 0.500 0.500 0.500
Se 0.000 0.500 0.000
Se 0.500 0.000 0.000
N 0.000 0.000 0.500


(6)
Here is a relaxed structure of KYSeN2 from Alexandria via LeMat-Bulk. Energies are from PBE.

Values from the calculation:
DOS(E_F) ... 4.2 states/eV/f.u.
V ... 21.6 Å³ per atom
Uncorrected formation energy ... 139.2 kJ per mole of atoms
Crystal system ... tetragonal

Cell lengths 4.351, 4.351, 5.706 Å; angles 90.00, 90.00, 90.00 degrees
Fractional coordinates of all 5 atoms:
Y 0.500 0.500 0.500
K 0.000 0.000 0.000
Se 0.000 0.000 0.500
N 0.000 0.500 0.000
N 0.500 0.000 0.000


(7)
Here is a relaxed structure of KYSe2N from Alexandria via LeMat-Bulk. Energies are from PBE.

Values from the calculation:
DOS(E_F) ... 2.1 states/eV/f.u.
V ... 27.9 Å³ per atom
Uncorrected formation energy ... 67.5 kJ per mole of atoms
Crystal system ... tetragonal

Cell lengths 5.554, 5.554, 4.521 Å; angles 90.00, 90.00, 90.00 degrees
Fractional coordinates of all 5 atoms:
Y 0.500 0.500 0.500
K 0.000 0.000 0.000
Se 0.000 0.500 0.000
Se 0.500 0.000 0.000
N 0.000 0.000 0.500


(8)
Here is a relaxed structure of KZnSe2N from Alexandria via LeMat-Bulk. Energies are from PBE.

Values from the calculation:
DOS(E_F) ... 6.2 states/eV/f.u.
V ... 41.5 Å³ per atom
Uncorrected formation energy ... 145.4 kJ per mole of atoms
Crystal system ... tetragonal

Cell lengths 6.253, 6.253, 5.313 Å; angles 90.00, 90.00, 90.00 degrees
Fractional coordinates of all 5 atoms:
Zn 0.500 0.500 0.500
K 0.000 0.000 0.000
Se 0.000 0.500 0.000
Se 0.500 0.000 0.000
N 0.000 0.000 0.500


(9)
Here is a relaxed structure of KZnSe2N from Alexandria via LeMat-Bulk. Energies are from PBE.

Values from the calculation:
DOS(E_F) ... 5.1 states/eV/f.u.
V ... 23.6 Å³ per atom
Uncorrected formation energy ... 39.1 kJ per mole of atoms
Crystal system ... tetragonal

Cell lengths 5.681, 5.681, 3.656 Å; angles 90.00, 90.00, 90.00 degrees
Fractional coordinates of all 5 atoms:
Zn 0.000 0.000 0.000
K 0.500 0.500 0.500
Se 0.000 0.500 0.000
Se 0.500 0.000 0.000
N 0.000 0.000 0.500


(10)
Here is a relaxed structure of KZrSeN2 from Alexandria via LeMat-Bulk. Energies are from PBE.

Values from the calculation:
DOS(E_F) ... 1.8 states/eV/f.u.
V ... 21.1 Å³ per atom
Uncorrected formation energy ... -7.4 kJ per mole of atoms
Crystal system ... tetragonal

Cell lengths 4.433, 4.433, 5.368 Å; angles 90.00, 90.00, 90.00 degrees
Fractional coordinates of all 5 atoms:
K 0.500 0.500 0.500
Se 0.000 0.000 0.500
Zr 0.000 0.000 0.000
N 0.000 0.500 0.000
N 0.500 0.000 0.000


(11)
Here is a relaxed structure of KZrSeN2 from Alexandria via LeMat-Bulk. Energies are from PBE.

Values from the calculation:
DOS(E_F) ... 3.3 states/eV/f.u.
V ... 18.9 Å³ per atom
Uncorrected formation energy ... 188.3 kJ per mole of atoms
Crystal system ... tetragonal

Cell lengths 4.186, 4.186, 5.398 Å; angles 90.00, 90.00, 90.00 degrees
Fractional coordinates of all 5 atoms:
K 0.000 0.000 0.000
Se 0.000 0.000 0.500
Zr 0.500 0.500 0.500
N 0.000 0.500 0.000
N 0.500 0.000 0.000


(12)
Here is a relaxed structure of K2SiN from Alexandria via LeMat-Bulk. Energies are from PBE.

Values from the calculation:
DOS(E_F) ... 2.2 states/eV/f.u.
V ... 31.6 Å³ per atom
Uncorrected formation energy ... 17.1 kJ per mole of atoms
Crystal system ... tetragonal

Cell lengths 11.882, 11.882, 8.590 Å; angles 46.25, 46.25, 90.00 degrees
Fractional coordinates of all 8 atoms:
K 0.411 0.125 0.250
K 0.339 0.625 0.250
K 0.375 0.589 0.750
K 0.875 0.661 0.750
Si 0.000 0.000 0.000
Si 0.750 0.250 0.500
N 0.500 0.500 0.000
N 0.250 0.750 0.500


The lowest DOS(E_F) belongs to which entry?
number 10